No. 1
VASP calculation (GGA-PBE) on an optimized crystal structure of Ba4GaHg.

Output
formation energy from the elements: -0.23 eV per atom
space-group type: No. 166
magnetic moment: 0.0 μB per cell
polymorph energy (0 for the lowest one): 92 meV per atom

Cell: 10.1397 10.1397 10.1397 Å, 33.55 33.55 33.55°
Atoms (fractional coordinates):
Ba1 0.1213 0.1213 0.1213
Ba2 0.3710 0.3710 0.3710
Ba3 0.6290 0.6290 0.6290
Ba4 0.8787 0.8787 0.8787
Ga1 0.0000 0.0000 0.0000
Hg1 0.5000 0.5000 0.5000

No. 2
VASP calculation (GGA-PBE) on an optimized crystal structure of ZrZn2F8.

Output
space-group type: No. 164
magnetic moment: 0.0 μB per cell
polymorph energy (0 for the lowest one): 59 meV per atom

Cell: 6.5416 6.5416 4.0503 Å, 90.00 90.00 120.00°
Atoms (fractional coordinates):
Zr1 0.0000 0.0000 0.0000
Zn1 0.3333 0.6667 0.7339
Zn2 0.6667 0.3333 0.2661
F1 0.1553 0.3106 0.7439
F2 0.1553 0.8447 0.7439
F3 0.3106 0.1553 0.2561
F4 0.3333 0.6667 0.2373
F5 0.6667 0.3333 0.7627
F6 0.6894 0.8447 0.7439
F7 0.8447 0.1553 0.2561
F8 0.8447 0.6894 0.2561